Compound: ZrTeOs2
Source: the Alexandria database
Functional: meta-GGA SCAN
Structure: single point on PBEsol structure

Calculated values
uncorrected formation energy	286	meV/atom
space-group type	Pmmm, No. 47
crystal system	orthorhombic

a b c (Å): 3.123 4.598 4.770
angles (deg): 90.00 90.00 90.00
Positions (direct):
Os 0.000 0.000 0.000
Os 0.500 0.000 0.500
Te 0.500 0.500 0.000
Zr 0.000 0.500 0.500

---

Compound: ZrTeOs2
Source: the Alexandria database
Functional: meta-GGA SCAN
Structure: single point on PBEsol structure

Calculated values
uncorrected formation energy	122	meV/atom
space-group type	Cmmm, No. 65
crystal system	orthorhombic

a b c (Å): 3.229 4.642 4.642
angles (deg): 98.11 90.00 90.00
Positions (direct):
Os 0.000 0.500 0.000
Os 0.000 0.000 0.500
Te 0.500 0.000 0.000
Zr 0.500 0.500 0.500

---

Compound: ZrTeOs2
Source: the Alexandria database
Functional: meta-GGA SCAN
Structure: single point on PBEsol structure

Calculated values
uncorrected formation energy	143	meV/atom
space-group type	Pmmm, No. 47
crystal system	orthorhombic

a b c (Å): 3.050 4.240 5.728
angles (deg): 90.00 90.00 90.00
Positions (direct):
Os 0.500 0.000 0.713
Os 0.500 0.000 0.287
Te 0.500 0.500 0.000
Zr 0.000 0.500 0.500

---

Compound: Th7Os3
Source: the Alexandria database
Functional: meta-GGA SCAN
Structure: single point on PBEsol structure

Calculated values
space-group type	P6_3mc, No. 186
crystal system	hexagonal

a b c (Å): 6.230 9.895 9.895
angles (deg): 120.00 90.00 90.00
Positions (direct):
Th 0.205 0.460 0.540
Th 0.205 0.460 0.921
Th 0.705 0.540 0.079
Th 0.993 0.874 0.748
Th 0.705 0.921 0.460
Th 0.493 0.126 0.252
Th 0.212 0.667 0.333
Th 0.493 0.126 0.874
Th 0.205 0.079 0.540
Th 0.705 0.540 0.460
Th 0.993 0.874 0.126
Th 0.493 0.748 0.874
Th 0.993 0.252 0.126
Th 0.712 0.333 0.667
Os 0.450 0.374 0.187
Os 0.450 0.813 0.187
Os 0.950 0.187 0.374
Os 0.450 0.813 0.626
Os 0.950 0.626 0.813
Os 0.950 0.187 0.813

---

Which D(E_F) belongs to each record? In order, 3.8; 2.3; 4.1; 17.7 states/eV per cell.
Which calculated total energy belongs to each record? In order, -210.56; -211.22; -211.14; -1782.91 eV for the cell shown.